Compound: ReAgPt2
Source: the Alexandria database
Functional: meta-GGA SCAN
Structure: single point on PBEsol structure

For the theoretical density, the calculation gives 18.84 g/cm³. For the magnetic moment, the calculation gives 0.4915 μB per atom. The volume comes out at 60.3 Å³/cell. The calculation puts the energy above the lowest structure with this stoichiometry at 548 meV per atom. For the total energy, the calculation gives -241.1 eV/f.u. For the energy of formation from the pure elements, the calculation gives 0.430 eV per atom.

It has space group P4/mmm (No. 123), with a = 3.928 Å, b = 3.928 Å, c = 3.909 Å, α = 90.00°, β = 90.00° and γ = 90.00°. The distinct sites, in fractional coordinates, are Re at (0.000, 0.000, 0.000), Ag at (0.500, 0.500, 0.000) and Pt at (0.000, 0.500, 0.500).

Compound: Re2AgPt
Source: the Alexandria database
Functional: meta-GGA SCAN
Structure: single point on PBEsol structure

For the theoretical density, the calculation gives 18.87 g/cm³. For the magnetic moment, the calculation gives 0.0000 μB per atom. The volume comes out at 118.9 Å³/cell. The calculation puts the energy above the lowest structure with this stoichiometry at 136 meV per atom. For the total energy, the calculation gives -242.3 eV/f.u. For the energy of formation from the pure elements, the calculation gives 0.372 eV per atom.

It has space group I-4m2 (No. 119), with a = 3.939 Å, b = 3.939 Å, c = 7.661 Å, α = 90.00°, β = 90.00° and γ = 90.00°. The distinct sites, in fractional coordinates, are Re at (0.000, 0.000, 0.000), Re at (0.000, 0.500, 0.250), Ag at (0.000, 0.000, 0.500) and Pt at (0.000, 0.500, 0.750).

Compound: ReAgPt2
Source: the Alexandria database
Functional: meta-GGA SCAN
Structure: single point on PBEsol structure

For the theoretical density, the calculation gives 18.94 g/cm³. For the magnetic moment, the calculation gives 0.0006 μB per atom. The volume comes out at 120.0 Å³/cell. The calculation puts the energy above the lowest structure with this stoichiometry at 254 meV per atom. For the total energy, the calculation gives -242.3 eV/f.u. For the energy of formation from the pure elements, the calculation gives 0.136 eV per atom.

It has space group Cmmm (No. 65), with a = 5.552 Å, b = 7.947 Å, c = 2.718 Å, α = 90.00°, β = 90.00° and γ = 90.00°. The distinct sites, in fractional coordinates, are Re at (0.000, 0.000, 0.000), Ag at (0.000, 0.500, 0.000) and Pt at (0.250, 0.250, 0.500).

Compound: Re2AgPt
Source: the Alexandria database
Functional: meta-GGA SCAN
Structure: single point on PBEsol structure

For the theoretical density, the calculation gives 18.81 g/cm³. For the magnetic moment, the calculation gives 0.0000 μB per atom. The volume comes out at 119.2 Å³/cell. The calculation puts the energy above the lowest structure with this stoichiometry at 208 meV per atom. For the total energy, the calculation gives -242.0 eV/f.u. For the energy of formation from the pure elements, the calculation gives 0.444 eV per atom.

It has space group I4/mmm (No. 139), with a = 3.780 Å, b = 3.780 Å, c = 8.341 Å, α = 90.00°, β = 90.00° and γ = 90.00°. The distinct sites, in fractional coordinates, are Re at (0.000, 0.500, 0.250), Ag at (0.000, 0.000, 0.000) and Pt at (0.000, 0.000, 0.500).

Compound: TiReAg2Pt
Source: the Alexandria database
Functional: meta-GGA SCAN
Structure: single point on PBEsol structure

For the theoretical density, the calculation gives 9.56 g/cm³. For the magnetic moment, the calculation gives 0.1091 μB per atom. The volume comes out at 112.0 Å³/cell. For the total energy, the calculation gives -213.5 eV/f.u. For the energy of formation from the pure elements, the calculation gives 1.311 eV per atom.

It has space group P4/mmm (No. 123), with a = 4.877 Å, b = 4.877 Å, c = 4.707 Å, α = 90.00°, β = 90.00° and γ = 90.00°. The distinct sites, in fractional coordinates, are Ti at (0.000, 0.000, 0.000), Re at (0.500, 0.500, 0.000), Ag at (0.000, 0.500, 0.500) and Pt at (0.500, 0.500, 0.500).

Compound: Ag2PtRh
Source: the Alexandria database
Functional: meta-GGA SCAN
Structure: single point on PBEsol structure

For the theoretical density, the calculation gives 13.93 g/cm³. For the magnetic moment, the calculation gives 0.2672 μB per atom. The volume comes out at 61.2 Å³/cell. The calculation puts the energy above the lowest structure with this stoichiometry at 0 meV per atom. For the total energy, the calculation gives -166.4 eV/f.u. For the energy of formation from the pure elements, the calculation gives 0.064 eV per atom.

It has space group P4mm (No. 99), with a = 2.749 Å, b = 2.749 Å, c = 8.101 Å, α = 90.00°, β = 90.00° and γ = 90.00°. The distinct sites, in fractional coordinates, are Ag at (0.000, 0.000, 0.000), Ag at (0.500, 0.500, 0.262), Pt at (0.000, 0.000, 0.521) and Rh at (0.500, 0.500, 0.748).